(1)
{"formula": "BaErAl4", "functional": "PBE", "state": "optimized geometry", "cell": [[0.000, 4.082, 4.082], [4.082, 0.000, 4.082], [4.082, 4.082, 0.000]], "species": ["Ba", "Er", "Al", "Al", "Al", "Al"], "fractional_positions": [[0.000, 0.000, 0.000], [0.750, 0.750, 0.750], [0.376, 0.376, 0.376], [0.376, 0.376, 0.873], [0.376, 0.873, 0.376], [0.873, 0.376, 0.376]], "total_energy_ev_per_atom": -3.824, "sg": "No. 216"}

***

(2)
{"formula": "BaEr2Al", "functional": "PBE", "state": "optimized geometry", "cell": [[3.603, 0.000, 0.000], [-1.802, 3.121, 0.000], [0.000, 0.000, 35.014]], "species": ["Ba", "Ba", "Ba", "Er", "Er", "Er", "Er", "Er", "Er", "Al", "Al", "Al"], "fractional_positions": [[0.000, 0.000, 0.000], [0.333, 0.667, 0.667], [0.667, 0.333, 0.333], [0.000, 0.000, 0.105], [0.000, 0.000, 0.895], [0.333, 0.667, 0.562], [0.333, 0.667, 0.771], [0.667, 0.333, 0.229], [0.667, 0.333, 0.438], [0.000, 0.000, 0.500], [0.333, 0.667, 0.167], [0.667, 0.333, 0.833]], "total_energy_ev_per_atom": -3.560, "de_polymorph_mev_per_atom": 198.0, "sg": "No. 166"}

***

(3)
{"formula": "BaErAl2", "functional": "PBE", "state": "optimized geometry", "cell": [[3.822, 0.000, 0.000], [0.000, 3.822, 0.000], [0.000, 0.000, 7.799]], "species": ["Ba", "Er", "Al", "Al"], "fractional_positions": [[0.000, 0.000, 0.000], [0.000, 0.000, 0.500], [0.500, 0.500, 0.308], [0.500, 0.500, 0.692]], "total_energy_ev_per_atom": -3.708, "sg": "No. 123"}

***

(4)
{"formula": "BaErAl3SiN4O3", "functional": "PBE", "state": "optimized geometry", "cell": [[6.143, 0.000, 0.000], [-3.072, 5.320, 0.000], [0.000, 0.000, 10.142]], "species": ["Ba", "Ba", "Er", "Er", "Al", "Al", "Al", "Al", "Al", "Al", "Si", "Si", "N", "N", "N", "N", "N", "N", "N", "N", "O", "O", "O", "O", "O", "O"], "fractional_positions": [[0.333, 0.667, 0.000], [0.667, 0.333, 0.500], [0.333, 0.667, 0.386], [0.667, 0.333, 0.886], [0.165, 0.331, 0.686], [0.165, 0.835, 0.686], [0.331, 0.165, 0.186], [0.669, 0.835, 0.686], [0.835, 0.165, 0.186], [0.835, 0.669, 0.186], [0.000, 0.000, 0.450], [0.000, 0.000, 0.950], [0.000, 0.000, 0.268], [0.000, 0.000, 0.768], [0.154, 0.308, 0.505], [0.154, 0.846, 0.505], [0.308, 0.154, 0.005], [0.692, 0.846, 0.505], [0.846, 0.154, 0.005], [0.846, 0.692, 0.005], [0.022, 0.511, 0.743], [0.489, 0.511, 0.743], [0.489, 0.978, 0.743], [0.511, 0.022, 0.243], [0.511, 0.489, 0.243], [0.978, 0.489, 0.243]], "total_energy_ev_per_atom": -7.579, "formation_energy_uncorrected_ev_per_atom": -2.0933, "sg": "No. 186"}

***

(5)
{"formula": "Ba3ErAl2O8", "functional": "PBE", "state": "optimized geometry", "cell": [[5.922, 0.000, 0.000], [-2.961, 5.129, 0.000], [0.000, 0.000, 7.572]], "species": ["Ba", "Ba", "Ba", "Er", "Al", "Al", "O", "O", "O", "O", "O", "O", "O", "O"], "fractional_positions": [[0.000, 0.000, 0.000], [0.333, 0.667, 0.666], [0.667, 0.333, 0.334], [0.000, 0.000, 0.500], [0.333, 0.667, 0.231], [0.667, 0.333, 0.769], [0.173, 0.345, 0.320], [0.173, 0.827, 0.320], [0.333, 0.667, 0.000], [0.345, 0.173, 0.680], [0.655, 0.827, 0.320], [0.667, 0.333, 0.000], [0.827, 0.173, 0.680], [0.827, 0.655, 0.680]], "total_energy_ev_per_atom": -6.977, "formation_energy_uncorrected_ev_per_atom": -2.8710, "sg": "No. 164"}

***

(6)
{"formula": "Ba5Er2ZrAl2O13", "functional": "PBE", "state": "optimized geometry", "cell": [[6.016, 0.000, 0.000], [-3.008, 5.210, 0.000], [0.000, 0.000, 25.164]], "species": ["Ba", "Ba", "Ba", "Ba", "Ba", "Ba", "Ba", "Ba", "Ba", "Ba", "Er", "Er", "Er", "Er", "Zr", "Zr", "Al", "Al", "Al", "Al", "O", "O", "O", "O", "O", "O", "O", "O", "O", "O", "O", "O", "O", "O", "O", "O", "O", "O", "O", "O", "O", "O", "O", "O", "O", "O"], "fractional_positions": [[0.000, 0.000, 0.137], [0.000, 0.000, 0.363], [0.000, 0.000, 0.637], [0.000, 0.000, 0.863], [0.333, 0.667, 0.041], [0.333, 0.667, 0.459], [0.333, 0.667, 0.750], [0.667, 0.333, 0.250], [0.667, 0.333, 0.541], [0.667, 0.333, 0.959], [0.333, 0.667, 0.604], [0.333, 0.667, 0.896], [0.667, 0.333, 0.104], [0.667, 0.333, 0.396], [0.000, 0.000, 0.000], [0.000, 0.000, 0.500], [0.333, 0.667, 0.181], [0.333, 0.667, 0.319], [0.667, 0.333, 0.681], [0.667, 0.333, 0.819], [0.010, 0.505, 0.158], [0.010, 0.505, 0.342], [0.163, 0.326, 0.550], [0.163, 0.326, 0.950], [0.163, 0.837, 0.550], [0.163, 0.837, 0.950], [0.326, 0.163, 0.050], [0.326, 0.163, 0.450], [0.333, 0.667, 0.250], [0.495, 0.505, 0.158], [0.495, 0.505, 0.342], [0.495, 0.990, 0.158], [0.495, 0.990, 0.342], [0.505, 0.010, 0.658], [0.505, 0.010, 0.842], [0.505, 0.495, 0.658], [0.505, 0.495, 0.842], [0.667, 0.333, 0.750], [0.674, 0.837, 0.550], [0.674, 0.837, 0.950], [0.837, 0.163, 0.050], [0.837, 0.163, 0.450], [0.837, 0.674, 0.050], [0.837, 0.674, 0.450], [0.990, 0.495, 0.658], [0.990, 0.495, 0.842]], "total_energy_ev_per_atom": -7.414, "formation_energy_uncorrected_ev_per_atom": -3.0996, "sg": "No. 194"}

***

(7)
{"formula": "BaErAlS4", "functional": "PBE", "state": "optimized geometry", "cell": [[6.519, 0.000, 0.000], [0.000, 6.715, 0.000], [-2.541, 0.000, 8.054]], "species": ["Ba", "Ba", "Er", "Er", "Al", "Al", "S", "S", "S", "S", "S", "S", "S", "S"], "fractional_positions": [[0.245, 0.250, 0.438], [0.755, 0.750, 0.562], [0.282, 0.250, 0.949], [0.718, 0.750, 0.051], [0.263, 0.750, 0.171], [0.737, 0.250, 0.829], [0.045, 0.750, 0.915], [0.067, 0.750, 0.347], [0.498, 0.503, 0.786], [0.498, 0.997, 0.786], [0.502, 0.003, 0.214], [0.502, 0.497, 0.214], [0.933, 0.250, 0.653], [0.955, 0.250, 0.085]], "total_energy_ev_per_atom": -5.575, "formation_energy_uncorrected_ev_per_atom": -1.7557, "sg": "No. 11"}

***

(8)
{"formula": "BaEuAl", "functional": "PBE", "state": "optimized geometry", "cell": [[4.046, 0.000, 0.000], [0.000, 4.046, 0.000], [0.000, 0.000, 13.916]], "species": ["Ba", "Ba", "Eu", "Eu", "Al", "Al"], "fractional_positions": [[0.000, 0.000, 0.000], [0.500, 0.500, 0.500], [0.000, 0.000, 0.266], [0.500, 0.500, 0.766], [0.000, 0.000, 0.654], [0.500, 0.500, 0.154]], "total_energy_ev_per_atom": -5.412, "de_polymorph_mev_per_atom": 0.0, "sg": "No. 107"}

***

(9)
{"formula": "BaEuAl", "functional": "PBE", "state": "optimized geometry", "cell": [[5.614, 0.000, 0.000], [-2.807, 4.862, 0.000], [0.000, 0.000, 4.164]], "species": ["Ba", "Eu", "Al"], "fractional_positions": [[0.000, 0.000, 0.000], [0.333, 0.667, 0.512], [0.667, 0.333, 0.474]], "total_energy_ev_per_atom": -5.260, "de_polymorph_mev_per_atom": 152.2, "sg": "No. 156"}

***

(10)
{"formula": "BaEuAlGa", "functional": "PBE", "state": "optimized geometry", "cell": [[7.942, 0.000, 0.000], [0.000, 7.942, 0.000], [0.000, 0.000, 7.942]], "species": ["Ba", "Ba", "Ba", "Ba", "Eu", "Eu", "Eu", "Eu", "Al", "Al", "Al", "Al", "Ga", "Ga", "Ga", "Ga"], "fractional_positions": [[0.000, 0.000, 0.000], [0.000, 0.500, 0.500], [0.500, 0.000, 0.500], [0.500, 0.500, 0.000], [0.000, 0.000, 0.500], [0.000, 0.500, 0.000], [0.500, 0.000, 0.000], [0.500, 0.500, 0.500], [0.250, 0.250, 0.250], [0.250, 0.750, 0.750], [0.750, 0.250, 0.750], [0.750, 0.750, 0.250], [0.250, 0.250, 0.750], [0.250, 0.750, 0.250], [0.750, 0.250, 0.250], [0.750, 0.750, 0.750]], "total_energy_ev_per_atom": -4.934, "sg": "No. 216"}

***

(11)
{"formula": "BaEuAlHg", "functional": "PBE", "state": "optimized geometry", "cell": [[8.056, 0.000, 0.000], [0.000, 8.056, 0.000], [0.000, 0.000, 8.056]], "species": ["Ba", "Ba", "Ba", "Ba", "Eu", "Eu", "Eu", "Eu", "Al", "Al", "Al", "Al", "Hg", "Hg", "Hg", "Hg"], "fractional_positions": [[0.000, 0.000, 0.000], [0.000, 0.500, 0.500], [0.500, 0.000, 0.500], [0.500, 0.500, 0.000], [0.000, 0.000, 0.500], [0.000, 0.500, 0.000], [0.500, 0.000, 0.000], [0.500, 0.500, 0.500], [0.250, 0.250, 0.750], [0.250, 0.750, 0.250], [0.750, 0.250, 0.250], [0.750, 0.750, 0.750], [0.250, 0.250, 0.250], [0.250, 0.750, 0.750], [0.750, 0.250, 0.750], [0.750, 0.750, 0.250]], "total_energy_ev_per_atom": -4.344, "sg": "No. 216"}

***

(12)
{"formula": "BaEuAlIn", "functional": "PBE", "state": "optimized geometry", "cell": [[8.120, 0.000, 0.000], [0.000, 8.120, 0.000], [0.000, 0.000, 8.120]], "species": ["Ba", "Ba", "Ba", "Ba", "Eu", "Eu", "Eu", "Eu", "Al", "Al", "Al", "Al", "In", "In", "In", "In"], "fractional_positions": [[0.000, 0.000, 0.000], [0.000, 0.500, 0.500], [0.500, 0.000, 0.500], [0.500, 0.500, 0.000], [0.000, 0.000, 0.500], [0.000, 0.500, 0.000], [0.500, 0.000, 0.000], [0.500, 0.500, 0.500], [0.250, 0.250, 0.750], [0.250, 0.750, 0.250], [0.750, 0.250, 0.250], [0.750, 0.750, 0.750], [0.250, 0.250, 0.250], [0.250, 0.750, 0.750], [0.750, 0.250, 0.750], [0.750, 0.750, 0.250]], "total_energy_ev_per_atom": -4.893, "sg": "No. 216"}